(1)
A plane-wave DFT calculation with PBE was carried out for a relaxed Cs2CdSbPt crystal.

Lattice parameters (Å, degrees): 6.986 6.986 5.001 90.00 90.00 90.00
Space group P4/mmm (No. 123)
Asymmetric unit:
Cs (0.000, 0.500, 0.000) (multiplicity 2)
Cd (0.000, 0.000, 0.500) (multiplicity 1)
Sb (0.500, 0.500, 0.500) (multiplicity 1)
Pt (0.500, 0.500, 0.000) (multiplicity 1)

Properties
uncorrected energy = -2.73 eV/atom
N(E_F) = 2.5 states/eV/f.u.
formation energy (no corrections) = -0.172 eV/atom
spin magnetization = 0.00 μB/cell

(2)
A plane-wave DFT calculation with PBE was carried out for a relaxed Tb4PRhSe2 crystal.

Lattice parameters (Å, degrees): 7.089 4.022 7.172 90.00 108.56 90.00
Space group P2/m (No. 10)
Asymmetric unit:
Tb (0.241, 0.000, 0.228) (multiplicity 2)
Tb (0.254, 0.500, 0.772) (multiplicity 2)
P (0.500, 0.000, 0.000) (multiplicity 1)
Rh (0.000, 0.500, 0.000) (multiplicity 1)
Se (0.000, 0.000, 0.500) (multiplicity 1)
Se (0.500, 0.500, 0.500) (multiplicity 1)

Properties
uncorrected energy = -6.26 eV/atom
N(E_F) = 5.6 states/eV/f.u.
formation energy (no corrections) = -1.475 eV/atom
spin magnetization = 0.00 μB/cell

(3)
A plane-wave DFT calculation with PBE was carried out for a relaxed BiIr3Se crystal.

Lattice parameters (Å, degrees): 5.002 5.002 5.002 90.00 90.00 90.00
Space group Pm-3m (No. 221)
Asymmetric unit:
Bi (0.000, 0.000, 0.000) (multiplicity 1)
Ir (0.000, 0.000, 0.500) (multiplicity 3)
Se (0.500, 0.500, 0.500) (multiplicity 1)

Properties
uncorrected energy = -4.58 eV/atom
N(E_F) = 7.1 states/eV/f.u.
offset from the most stable computed form = 1208 meV per atom
formation energy (no corrections) = 2.214 eV/atom
spin magnetization = 1.36 μB/cell